This record from Alexandria describes an optimized crystal structure of In2SiS. The functional is GGA-PBE.

Cell: 4.951 4.951 4.951 Å, 60.00 60.00 60.00°
Positions (direct):
In  0.750  0.750  0.750
In  0.250  0.250  0.250
S  0.500  0.500  0.500
Si  0.000  0.000  0.000

## Properties
SG: Fm-3m (225)
DOS(E_F) (states/eV/atom): 0.578
Raw formation energy (eV per formula unit): 1.2
Distance to the lowest polymorph of the same formula (eV/atom): 0.458